First-principles (PBE-GGA) data for a relaxed PmNdDy2Er crystal, as listed in Alexandria via LeMat-Bulk.

Cell: 7.1445 7.1445 7.1727 Å, 90.00 90.00 107.75°
Closest atoms and distances in Å follow each position.
Fractional positions:
Pm: 0.0019 0.9981 0.7500  1 Nd 3.11, 4 Dy 3.19, 1 Er 3.23
Pm: 0.9981 0.0019 0.2500  1 Nd 3.11, 4 Dy 3.19, 1 Er 3.23
Nd: 0.2710 0.7290 0.7500  1 Pm 3.11
Nd: 0.7290 0.2710 0.2500  1 Pm 3.11
Dy: 0.3127 0.3127 0.0000  1 Dy 3.16, 2 Pm 3.19, 2 Er 3.50
Dy: 0.3127 0.3127 0.5000  1 Dy 3.16, 2 Pm 3.19, 2 Er 3.50
Dy: 0.6873 0.6873 0.0000  1 Dy 3.16, 2 Pm 3.19, 2 Er 3.50
Dy: 0.6873 0.6873 0.5000  1 Dy 3.16, 2 Pm 3.19, 2 Er 3.50
Er: 0.2778 0.7222 0.2500  1 Pm 3.23, 4 Dy 3.50, 2 Nd 3.59
Er: 0.7222 0.2778 0.7500  1 Pm 3.23, 4 Dy 3.50, 2 Nd 3.59

Summary:
DOS(E_F): 17.16 states/eV/cell
DFT formation energy: 0.389 eV per atom
Electronic total energy: -4.268 eV/atom